1.
AcNdBi after structural relaxation. Source: Alexandria via LeMat-Bulk, functional PBE.

Cell: 5.465 5.465 4.383 Å, 90.00 90.00 120.00°
Element x y z (fractional)
Ac1 0.000 0.000 0.000
Nd1 0.333 0.667 0.490
Bi1 0.667 0.333 0.568

M_tot = 0.00 μB/cell
ΔE_f = -0.98 eV per formula unit
Final energy = -4.58 eV per atom
Mass density = 8.5 g cm⁻³
Density of states at the Fermi level = 4.0 states/eV/f.u.
Offset from the most stable computed form = 0.97 eV/f.u.

2.
Nd5CuRh2 after structural relaxation. Source: Alexandria via LeMat-Bulk, functional PBE.

Cell: 8.791 8.791 8.791 Å, 126.44 126.44 79.17°
Element x y z (fractional)
Nd1 0.000 0.000 0.000
Nd2 0.026 0.526 0.829
Nd3 0.197 0.026 0.500
Nd4 0.303 0.803 0.829
Nd5 0.474 0.303 0.500
Nd6 0.500 0.500 0.000
Nd7 0.526 0.697 0.500
Nd8 0.697 0.197 0.171
Nd9 0.803 0.974 0.500
Nd10 0.974 0.474 0.171
Cu1 0.250 0.250 0.000
Cu2 0.750 0.750 0.000
Rh1 0.134 0.366 0.500
Rh2 0.366 0.866 0.231
Rh3 0.634 0.134 0.769
Rh4 0.866 0.634 0.500

M_tot = 0.00 μB/cell
ΔE_f = -3.22 eV per formula unit
Final energy = -5.73 eV per atom
Mass density = 7.7 g cm⁻³
Density of states at the Fermi level = 9.7 states/eV/f.u.

3.
Pu2SiTe after structural relaxation. Source: Alexandria via LeMat-Bulk, functional PBE.

Cell: 11.697 11.697 4.120 Å, 90.00 90.00 158.06°
Element x y z (fractional)
Pu1 0.057 0.943 0.750
Pu2 0.334 0.666 0.750
Pu3 0.666 0.334 0.250
Pu4 0.943 0.057 0.250
Si1 0.467 0.533 0.750
Si2 0.533 0.467 0.250
Te1 0.193 0.807 0.750
Te2 0.807 0.193 0.250

Raw formation energy = -0.690 eV/atom
M_tot = 23.72 μB/cell
Final energy = -10.00 eV per atom
Mass density = 10.2 g cm⁻³
Density of states at the Fermi level = 16.6 states/eV/f.u.
Offset from the most stable computed form = 0.00 eV/f.u.

- Number 1 is which compound?
  AcNdBi

- Which value of final energy does entry 1 give?
  -4.58 eV per atom

- Among the records above, which one has the lowest final energy?
  Pu2SiTe